Density functional theory data (PBE) for crystalline SrCr2In at its relaxed geometry.

Cell: 9.7531 3.2996 6.0501 Å, 90.00 103.97 90.00°
Space group C2/m (No. 12)
Symmetry-distinct sites (fractional):
1 Sr 0.0000 0.0000 0.0000 x2
2 Cr 0.2390 0.0000 0.6102 x4
3 In 0.0000 0.5000 0.5000 x2

Summary:
As for the energy of formation from the pure elements: 0.63 eV/atom. Its density of states at the Fermi level is 1.18 states/eV/atom. The total energy comes out at -5.29 eV per atom.